1.
La8Cd3Rh2: relaxed, PBE.

The space group is C2/m (No. 12) and the conventional cell measures 17.6469, 7.8511 and 5.6074 Å, with angles of 90.00, 91.61 and 90.00 degrees. The distinct sites, in fractional coordinates, are La at (0.0704, 0.0000, 0.2688), La at (0.1675, 0.2389, 0.7407), La at (0.1700, 0.5000, 0.2312), Cd at (0.0000, 0.3240, 0.0000), Cd at (0.0000, 0.5000, 0.5000) and Rh at (0.2192, 0.0000, 0.2533).

Its raw total energy is -4.6436 eV per atom. As for the energy of formation from the pure elements: -0.27 eV per atom. Its crystal system is monoclinic. The value obtained for the density of states at the Fermi level is 27.1 states/eV/cell.


2.
LaCd3Rh2: relaxed, PBE.

The space group is C2/m (No. 12) and the conventional cell measures 16.6306, 4.0586 and 9.3511 Å, with angles of 90.00, 124.14 and 90.00 degrees. The distinct sites, in fractional coordinates, are La at (0.1345, 0.0000, 0.1348), Cd at (0.9998, 0.0000, 0.3471), Cd at (0.1702, 0.5000, 0.4669), Cd at (0.1703, 0.5000, 0.8742), Rh at (0.0001, 0.5000, 0.1393) and Rh at (0.2023, 0.0000, 0.7025).

Its raw total energy is -4.0411 eV per atom. As for the energy of formation from the pure elements: -0.31 eV per atom. Its crystal system is monoclinic. The value obtained for the density of states at the Fermi level is 12.1 states/eV/cell.


3.
La8Cd2Rh: relaxed, PBE.

The space group is C2/m (No. 12) and the conventional cell measures 18.5708, 5.6247 and 7.0889 Å, with angles of 90.00, 109.73 and 90.00 degrees. The distinct sites, in fractional coordinates, are La at (0.0108, 0.0000, 0.2898), La at (0.0900, 0.5000, 0.9136), La at (0.1518, 0.5000, 0.4448), La at (0.2071, 0.0000, 0.7668), Cd at (0.1751, 0.0000, 0.1954) and Rh at (0.0000, 0.5000, 0.5000).

Its raw total energy is -4.6586 eV per atom. As for the energy of formation from the pure elements: -0.24 eV per atom. Its crystal system is monoclinic. The value obtained for the density of states at the Fermi level is 27.2 states/eV/cell.